Run w
Density functional theory data (PBE-GGA) for a relaxed Dy2HoEr crystal.

Total magnetization, μB per atom: 0.0000

Unit cell a=3.5217 b=3.5217 c=34.4054 alpha=90.00 beta=90.00 gamma=120.00
Last column: nearest neighbours and their distance in Å.
Space group R-3m (No. 166, hexagonal axes)
Asymmetric unit:
Dy: 0.0000 0.0000 0.2502 [6 per cell]  3 Er 3.51, 3 Ho 3.52, 6 Dy 3.52
Ho: 0.0000 0.0000 0.5000 [3 per cell]  6 Dy 3.52, 6 Ho 3.52
Er: 0.0000 0.0000 0.0000 [3 per cell]  6 Dy 3.51, 6 Er 3.52



Run x
Density functional theory data (PBE-GGA) for a relaxed Dy2HoEr crystal.

Total magnetization, μB per atom: 0.0013

Unit cell a=7.9493 b=7.9493 c=7.9493 alpha=90.00 beta=90.00 gamma=90.00
Last column: nearest neighbours and their distance in Å.
Space group Fm-3m (No. 225)
Asymmetric unit:
Dy: 0.2500 0.2500 0.2500 [8 per cell]  4 Ho 3.44, 4 Er 3.44
Ho: 0.0000 0.0000 0.0000 [4 per cell]  8 Dy 3.44
Er: 0.0000 0.0000 0.5000 [4 per cell]  8 Dy 3.44



Run y
Density functional theory data (PBE-GGA) for a relaxed Dy2HoEr crystal.

Total magnetization, μB per atom: 0.0001

Unit cell a=6.4929 b=12.9792 c=6.4989 alpha=90.00 beta=114.91 gamma=90.00
Last column: nearest neighbours and their distance in Å.
Space group P2_1/c (No. 14)
Asymmetric unit:
Dy: 0.1251 0.0643 0.3751 [4 per cell]  4 Dy 3.21-3.50, 4 Ho 3.39-3.56, 3 Er 3.55-3.56
Dy: 0.3753 0.5648 0.6252 [4 per cell]  4 Dy 3.21-3.50, 4 Er 3.38-3.56, 3 Ho 3.55-3.57
Ho: 0.1249 0.1748 0.8749 [4 per cell]  7 Dy 3.39-3.57, 4 Er 3.49-3.79, 2 Ho 3.79
Er: 0.3750 0.6745 0.1250 [4 per cell]  7 Dy 3.38-3.56, 2 Ho 3.49-3.50



Run z
Density functional theory data (PBE-GGA) for a relaxed Dy2HoEr crystal.

Total magnetization, μB per atom: 0.0009

Unit cell a=3.5493 b=3.5493 c=34.0457 alpha=90.00 beta=90.00 gamma=120.00
Last column: nearest neighbours and their distance in Å.
Space group R3m (No. 160, hexagonal axes)
Asymmetric unit:
Dy: 0.0000 0.0000 0.0000 [3 per cell]  3 Ho 3.49, 3 Er 3.50, 6 Dy 3.55
Dy: 0.0000 0.0000 0.1664 [3 per cell]  3 Ho 3.51, 3 Er 3.51, 6 Dy 3.55
Ho: 0.0000 0.0000 0.7495 [3 per cell]  6 Dy 3.49-3.51, 6 Ho 3.55
Er: 0.0000 0.0000 0.5832 [3 per cell]  6 Dy 3.50-3.51, 6 Er 3.55



Relative energies, kJ/mol of atoms: run w 1.1; run x 13.0; run y 3.6; run z 0.0.